Entry 1:
# GGA-PBE BaPmAlO4, relaxed
data_BaPmAlO4
_chemical_formula_sum 'Ba2 Pm2 Al2 O8'
_symmetry_space_group_name_H-M 'P 1 21/m 1'
_symmetry_Int_Tables_number 11
_symmetry_space_group_name_Hall '-P 2yb'
_cell_length_a 5.7655
_cell_length_b 5.8544
_cell_length_c 7.2526
_cell_angle_alpha 90.00
_cell_angle_beta 108.01
_cell_angle_gamma 90.00
loop_
_atom_site_label
_atom_site_type_symbol
_atom_site_fract_x
_atom_site_fract_y
_atom_site_fract_z
Ba1 Ba 0.2044 0.2500 0.4266
Pm1 Pm 0.2979 0.2500 0.9598
Al1 Al 0.2489 0.7500 0.1746
O1 O 0.0506 0.7500 0.9343
O2 O 0.0589 0.7500 0.3261
O3 O 0.4596 0.5184 0.2065
# * ΔE_f (raw): -3.038 eV per atom
# * DOS(E_F): 0.00 states/eV/f.u.

***

Entry 2:
# GGA-PBE CaY3Cu4, relaxed
data_CaY3Cu4
_chemical_formula_sum 'Ca3 Y9 Cu12'
_symmetry_space_group_name_H-M 'R -3 m'
_symmetry_Int_Tables_number 166
_symmetry_space_group_name_Hall '-R 3 2"'
_cell_length_a 4.9343
_cell_length_b 4.9343
_cell_length_c 24.2704
_cell_angle_alpha 90.00
_cell_angle_beta 90.00
_cell_angle_gamma 120.00
loop_
_atom_site_label
_atom_site_type_symbol
_atom_site_fract_x
_atom_site_fract_y
_atom_site_fract_z
Ca1 Ca 0.0000 0.0000 0.0000
Y1 Y 0.0000 0.0000 0.2509
Y2 Y 0.0000 0.0000 0.5000
Cu1 Cu 0.0000 0.0000 0.1286
Cu2 Cu 0.0000 0.0000 0.3784
# * DOS(E_F): 4.65 states/eV/f.u.
# * calculated formation energy: -1.56 eV per formula unit

***

Entry 3:
# GGA-PBE YHf2NiN4, relaxed
data_YHf2NiN4
_chemical_formula_sum 'Y4 Hf8 Ni4 N16'
_symmetry_space_group_name_H-M 'C m c m'
_symmetry_Int_Tables_number 63
_symmetry_space_group_name_Hall '-C 2c 2'
_cell_length_a 3.2036
_cell_length_b 10.8151
_cell_length_c 11.0394
_cell_angle_alpha 90.00
_cell_angle_beta 90.00
_cell_angle_gamma 90.00
loop_
_atom_site_label
_atom_site_type_symbol
_atom_site_fract_x
_atom_site_fract_y
_atom_site_fract_z
Y1 Y 0.0000 0.1115 0.2500
Hf1 Hf 0.0000 0.3680 0.0560
Ni1 Ni 0.0000 0.1520 0.7500
N1 N 0.0000 0.0000 0.0000
N2 N 0.0000 0.2690 0.6129
N3 N 0.0000 0.4503 0.2500
# * ΔE_f (raw): -1.367 eV per atom
# * DOS(E_F): 2.16 states/eV/f.u.

***

Entry 4:
# GGA-PBE Na3Nd3GeS8, relaxed
data_Na3Nd3GeS8
_chemical_formula_sum 'Na9 Nd9 Ge3 S24'
_symmetry_space_group_name_H-M 'R -3 m'
_symmetry_Int_Tables_number 166
_symmetry_space_group_name_Hall '-R 3 2"'
_cell_length_a 8.0778
_cell_length_b 8.0778
_cell_length_c 20.1911
_cell_angle_alpha 90.00
_cell_angle_beta 90.00
_cell_angle_gamma 120.00
loop_
_atom_site_label
_atom_site_type_symbol
_atom_site_fract_x
_atom_site_fract_y
_atom_site_fract_z
Na1 Na 0.0000 0.5000 0.0000
Nd1 Nd 0.0000 0.5000 0.5000
Ge1 Ge 0.0000 0.0000 0.5000
S1 S 0.0000 0.0000 0.2443
S2 S 0.0402 0.5201 0.2378
# * ΔE_f (raw): -1.408 eV per atom
# * DOS(E_F): 1.18 states/eV/f.u.

***

Entry 5:
# GGA-PBE Cd8AgHg3, relaxed
data_Cd8AgHg3
_chemical_formula_sum 'Cd16 Ag2 Hg6'
_symmetry_space_group_name_H-M 'C 1 m 1'
_symmetry_Int_Tables_number 8
_symmetry_space_group_name_Hall 'C -2y'
_cell_length_a 9.5236
_cell_length_b 9.4517
_cell_length_c 7.9907
_cell_angle_alpha 90.00
_cell_angle_beta 124.46
_cell_angle_gamma 90.00
loop_
_atom_site_label
_atom_site_type_symbol
_atom_site_fract_x
_atom_site_fract_y
_atom_site_fract_z
Cd1 Cd 0.0000 0.0000 0.0000
Cd2 Cd 0.0376 0.5000 0.1327
Cd3 Cd 0.1231 0.2190 0.3675
Cd4 Cd 0.1291 0.5000 0.8355
Cd5 Cd 0.3710 0.0000 0.3836
Cd6 Cd 0.4910 0.3003 0.6385
Ag1 Ag 0.2364 0.5000 0.5684
Hg1 Hg 0.2565 0.2420 0.0786
Hg2 Hg 0.2590 0.0000 0.7028
# * DOS(E_F): 3.50 states/eV/f.u.
# * calculated formation energy: 0.47 eV per formula unit

***

Entry 6:
# GGA-PBE Ce2ThRh, relaxed
data_Ce2ThRh
_chemical_formula_sum 'Ce6 Th3 Rh3'
_symmetry_space_group_name_H-M 'R 3 m'
_symmetry_Int_Tables_number 160
_symmetry_space_group_name_Hall 'R 3 -2"'
_cell_length_a 3.7021
_cell_length_b 3.7021
_cell_length_c 27.8924
_cell_angle_alpha 90.00
_cell_angle_beta 90.00
_cell_angle_gamma 120.00
loop_
_atom_site_label
_atom_site_type_symbol
_atom_site_fract_x
_atom_site_fract_y
_atom_site_fract_z
Ce1 Ce 0.0000 0.0000 0.0000
Ce2 Ce 0.0000 0.0000 0.2041
Th1 Th 0.0000 0.0000 0.4345
Rh1 Rh 0.0000 0.0000 0.6029
# * DOS(E_F): 8.59 states/eV/f.u.
# * calculated formation energy: -0.90 eV per formula unit
# * distance to the lowest polymorph of the same formula: 176 meV/atom

***

Entry 7:
# GGA-PBE KTaF2, relaxed
data_KTaF2
_chemical_formula_sum 'K3 Ta3 F6'
_symmetry_space_group_name_H-M 'R -3 m'
_symmetry_Int_Tables_number 166
_symmetry_space_group_name_Hall '-R 3 2"'
_cell_length_a 3.2052
_cell_length_b 3.2052
_cell_length_c 22.6061
_cell_angle_alpha 90.00
_cell_angle_beta 90.00
_cell_angle_gamma 120.00
loop_
_atom_site_label
_atom_site_type_symbol
_atom_site_fract_x
_atom_site_fract_y
_atom_site_fract_z
K1 K 0.0000 0.0000 0.0000
Ta1 Ta 0.0000 0.0000 0.5000
F1 F 0.0000 0.0000 0.4090
# * ΔE_f (raw): -1.797 eV per atom
# * DOS(E_F): 2.04 states/eV/f.u.
# * distance to the lowest polymorph of the same formula: 0 meV/atom

***

Entry 8:
# GGA-PBE SrAl3Zn, relaxed
data_SrAl3Zn
_chemical_formula_sum 'Sr1 Al3 Zn1'
_symmetry_space_group_name_H-M 'P m -3 m'
_symmetry_Int_Tables_number 221
_symmetry_space_group_name_Hall '-P 4 2 3'
_cell_length_a 4.9629
_cell_length_b 4.9629
_cell_length_c 4.9629
_cell_angle_alpha 90.00
_cell_angle_beta 90.00
_cell_angle_gamma 90.00
loop_
_atom_site_label
_atom_site_type_symbol
_atom_site_fract_x
_atom_site_fract_y
_atom_site_fract_z
Sr1 Sr 0.0000 0.0000 0.0000
Al1 Al 0.0000 0.5000 0.5000
Zn1 Zn 0.5000 0.5000 0.5000
# * DOS(E_F): 2.11 states/eV/f.u.
# * calculated formation energy: 0.96 eV per formula unit

***

Theoretical density in g/cm³, matching the order above: 5.3 5.5 9.7 3.6 9.0 9.3 6.4 3.2
E_tot in eV per atom, matching the order above: -7.3593 -4.9176 -9.5490 -5.1349 -0.8841 -6.8841 -5.9701 -2.6445